Density functional theory data (PBE-GGA) for crystalline P3Pt2 at its relaxed geometry.

a b c (Å): 7.7830 7.7830 7.7830
angles (deg): 25.48 25.48 25.48
With the nearest neighbours (Å) after each atom.
Fractional coordinates of all 5 atoms:
P 0.0000 0.0000 0.0000  6 Pt 2.51
P 0.1986 0.1986 0.1986  3 P 2.45, 3 Pt 2.48
P 0.8014 0.8014 0.8014  3 P 2.45, 3 Pt 2.48
Pt 0.4018 0.4018 0.4018  6 P 2.48-2.51
Pt 0.5982 0.5982 0.5982  6 P 2.48-2.51

Values from the calculation:
For the formation energy, the calculation gives -0.1616 eV/atom. As for the total energy: -5.8239 eV/atom.